{
  "formula": "Tl3Fe",
  "functional": "GGA-PBE",
  "state": "relaxed",
  "total_magnetization_mub_per_fu": 3.067,
  "e_form_ev_per_fu": 2.28,
  "space_group": "R-3m",
  "lattice": [[5.993, -0.045, -0.125], [-2.647, 5.378, -0.125], [-2.647, -4.218, 3.338]],
  "species": ["Tl", "Tl", "Fe", "Tl"],
  "fractional_positions": [[0.000, 0.500, 0.500], [0.500, 0.000, 0.500], [0.000, 0.000, 0.000], [0.500, 0.500, 0.000]]
}

=====

{
  "formula": "LiLaLuPt",
  "functional": "GGA-PBE",
  "state": "relaxed",
  "total_magnetization_mub_per_fu": 0.000,
  "e_form_ev_per_fu": -2.39,
  "space_group": "F-43m",
  "lattice": [[5.070, 0.000, 0.000], [2.535, 4.391, 0.000], [2.535, 1.464, 4.140]],
  "species": ["Pt", "Lu", "La", "Li"],
  "fractional_positions": [[0.750, 0.750, 0.750], [0.500, 0.500, 0.500], [0.000, 0.000, 0.000], [0.250, 0.250, 0.250]]
}

=====

{
  "formula": "Eu2SnI",
  "functional": "GGA-PBE",
  "state": "relaxed",
  "total_magnetization_mub_per_fu": 14.419,
  "space_group": "P4/mmm",
  "energy_ev_per_cell": -29.8,
  "lattice": [[-1.635, -2.473, 2.491], [2.840, -2.546, -0.664], [4.651, 3.490, 6.518]],
  "species": ["I", "Eu", "Eu", "Sn"],
  "fractional_positions": [[0.500, 0.500, 0.500], [0.000, 0.000, 0.231], [0.000, 0.000, 0.769], [0.500, 0.500, 0.000]]
}

=====

{
  "formula": "TmHfTi2",
  "functional": "GGA-PBE",
  "state": "relaxed",
  "total_magnetization_mub_per_fu": 0.001,
  "e_form_ev_per_fu": 0.58,
  "space_group": "P4/mmm",
  "lattice": [[3.586, 0.000, 0.000], [0.000, 3.586, 0.000], [0.000, 0.000, 6.695]],
  "species": ["Ti", "Tm", "Ti", "Hf"],
  "fractional_positions": [[0.000, 0.000, 0.206], [0.500, 0.500, 0.500], [0.000, 0.000, 0.794], [0.500, 0.500, 0.000]]
}

=====

{
  "formula": "Y2NO",
  "functional": "GGA-PBE",
  "state": "relaxed",
  "total_magnetization_mub_per_fu": 0.968,
  "space_group": "I-42d",
  "energy_ev_per_cell": -69.2,
  "lattice": [[5.287, 0.000, 0.000], [0.000, 5.287, 0.000], [2.643, 2.643, 5.309]],
  "species": ["Y", "Y", "N", "Y", "N", "O", "O", "Y"],
  "fractional_positions": [[0.621, 0.125, 0.250], [0.375, 0.379, 0.750], [0.250, 0.750, 0.500], [0.129, 0.625, 0.250], [0.500, 0.500, 0.000], [0.750, 0.250, 0.500], [0.000, 0.000, 0.000], [0.875, 0.871, 0.750]]
}

=====

{
  "formula": "P2RhClF",
  "functional": "GGA-PBE",
  "state": "relaxed",
  "total_magnetization_mub_per_fu": 0.337,
  "space_group": "P4/mmm",
  "energy_ev_per_cell": -18.3,
  "lattice": [[-1.030, -2.817, -2.743], [3.464, -1.991, 0.745], [-2.280, -2.634, 3.561]],
  "species": ["P", "Cl", "Rh", "F", "P"],
  "fractional_positions": [[0.000, 0.500, 0.000], [0.000, 0.000, 0.500], [0.500, 0.500, 0.500], [0.000, 0.000, 0.000], [0.500, 0.000, 0.000]]
}